Record 1
{"formula": "Sc2TlMo", "functional": "PBE", "state": "relaxed", "lattice_angstrom": [[6.8621, 0.0000, 0.0000], [0.0000, 6.8621, 0.0000], [0.0000, 0.0000, 6.8621]], "species": ["Sc", "Sc", "Sc", "Sc", "Sc", "Sc", "Sc", "Sc", "Tl", "Tl", "Tl", "Tl", "Mo", "Mo", "Mo", "Mo"], "fractional_positions": [[0.2500, 0.2500, 0.2500], [0.2500, 0.2500, 0.7500], [0.2500, 0.7500, 0.2500], [0.2500, 0.7500, 0.7500], [0.7500, 0.2500, 0.2500], [0.7500, 0.2500, 0.7500], [0.7500, 0.7500, 0.2500], [0.7500, 0.7500, 0.7500], [0.0000, 0.0000, 0.0000], [0.0000, 0.5000, 0.5000], [0.5000, 0.0000, 0.5000], [0.5000, 0.5000, 0.0000], [0.0000, 0.0000, 0.5000], [0.0000, 0.5000, 0.0000], [0.5000, 0.0000, 0.0000], [0.5000, 0.5000, 0.5000]], "final_energy_ev_per_atom": -6.442, "space_group": "Fm-3m (225)", "e_form_ev_per_atom": 0.023, "volume_a3_per_atom": 20.2, "e_above_lowest_polymorph_mev_per_atom": 86.0, "n_ef_per_ev_fu": 2.93}


Record 2
{"formula": "Ce2Dy2Sb3", "functional": "PBE", "state": "relaxed", "lattice_angstrom": [[14.3666, 0.0000, 0.0000], [0.0000, 4.3333, 0.0000], [-1.0966, 0.0000, 7.4644]], "species": ["Ce", "Ce", "Ce", "Ce", "Dy", "Dy", "Dy", "Dy", "Sb", "Sb", "Sb", "Sb", "Sb", "Sb"], "fractional_positions": [[0.1162, 0.0000, 0.3874], [0.3838, 0.5000, 0.6126], [0.6162, 0.5000, 0.3874], [0.8838, 0.0000, 0.6126], [0.1266, 0.5000, 0.8775], [0.3734, 0.0000, 0.1225], [0.6266, 0.0000, 0.8775], [0.8734, 0.5000, 0.1225], [0.0000, 0.0000, 0.0000], [0.2454, 0.5000, 0.2499], [0.2546, 0.0000, 0.7501], [0.5000, 0.5000, 0.0000], [0.7454, 0.0000, 0.2499], [0.7546, 0.5000, 0.7501]], "final_energy_ev_per_atom": -5.546, "space_group": "C2/m (12)", "volume_a3_per_atom": 33.2, "n_ef_per_ev_fu": 16.56, "e_form_raw_ev_per_fu": -5.4}


Record 3
{"formula": "Ba6AsPd2Cl3", "functional": "PBE", "state": "relaxed", "lattice_angstrom": [[4.0285, -6.9836, 0.0000], [4.0285, 6.9836, 0.0000], [-2.7005, 0.0000, 7.8784]], "species": ["Ba", "Ba", "Ba", "Ba", "Ba", "Ba", "As", "Pd", "Pd", "Cl", "Cl", "Cl"], "fractional_positions": [[0.0887, 0.4248, 0.7728], [0.2396, 0.2396, 0.2275], [0.4248, 0.0887, 0.7728], [0.5752, 0.9113, 0.2272], [0.7604, 0.7604, 0.7725], [0.9113, 0.5752, 0.2272], [0.5000, 0.5000, 0.0000], [0.1670, 0.8330, 0.0000], [0.8330, 0.1670, 0.0000], [0.0000, 0.0000, 0.5000], [0.3379, 0.6621, 0.5000], [0.6621, 0.3379, 0.5000]], "final_energy_ev_per_atom": -4.017, "space_group": "C2/m (12)", "volume_a3_per_atom": 36.9, "n_ef_per_ev_fu": 8.86, "e_form_raw_ev_per_fu": -16.1}


Record 4
{"formula": "NdTlRhAu", "functional": "PBE", "state": "relaxed", "lattice_angstrom": [[7.0369, 0.0000, 0.0000], [0.0000, 7.0369, 0.0000], [0.0000, 0.0000, 7.0369]], "species": ["Nd", "Nd", "Nd", "Nd", "Tl", "Tl", "Tl", "Tl", "Rh", "Rh", "Rh", "Rh", "Au", "Au", "Au", "Au"], "fractional_positions": [[0.0000, 0.0000, 0.0000], [0.0000, 0.5000, 0.5000], [0.5000, 0.0000, 0.5000], [0.5000, 0.5000, 0.0000], [0.0000, 0.0000, 0.5000], [0.0000, 0.5000, 0.0000], [0.5000, 0.0000, 0.0000], [0.5000, 0.5000, 0.5000], [0.2500, 0.2500, 0.2500], [0.2500, 0.7500, 0.7500], [0.7500, 0.2500, 0.7500], [0.7500, 0.7500, 0.2500], [0.2500, 0.2500, 0.7500], [0.2500, 0.7500, 0.2500], [0.7500, 0.2500, 0.2500], [0.7500, 0.7500, 0.7500]], "final_energy_ev_per_atom": -4.816, "space_group": "F-43m (216)", "e_form_ev_per_atom": -0.375, "volume_a3_per_atom": 21.8, "n_ef_per_ev_fu": 3.41}


Record 5
{"formula": "La2NdPb", "functional": "PBE", "state": "relaxed", "lattice_angstrom": [[8.0873, 0.0000, 0.0000], [0.0000, 8.0873, 0.0000], [0.0000, 0.0000, 8.0873]], "species": ["La", "La", "La", "La", "La", "La", "La", "La", "Nd", "Nd", "Nd", "Nd", "Pb", "Pb", "Pb", "Pb"], "fractional_positions": [[0.2500, 0.2500, 0.2500], [0.2500, 0.2500, 0.7500], [0.2500, 0.7500, 0.2500], [0.2500, 0.7500, 0.7500], [0.7500, 0.2500, 0.2500], [0.7500, 0.2500, 0.7500], [0.7500, 0.7500, 0.2500], [0.7500, 0.7500, 0.7500], [0.0000, 0.0000, 0.0000], [0.0000, 0.5000, 0.5000], [0.5000, 0.0000, 0.5000], [0.5000, 0.5000, 0.0000], [0.0000, 0.0000, 0.5000], [0.0000, 0.5000, 0.0000], [0.5000, 0.0000, 0.0000], [0.5000, 0.5000, 0.5000]], "final_energy_ev_per_atom": -4.764, "space_group": "Fm-3m (225)", "e_form_ev_per_atom": -0.181, "volume_a3_per_atom": 33.1, "e_above_lowest_polymorph_mev_per_atom": 192.2, "n_ef_per_ev_fu": 7.72}


Record 6
{"formula": "SmTmPu2Se4", "functional": "PBE", "state": "relaxed", "lattice_angstrom": [[7.1112, 0.0000, 0.0000], [0.0000, 4.1007, 0.0000], [-2.3649, 0.0000, 6.7834]], "species": ["Sm", "Tm", "Pu", "Pu", "Se", "Se", "Se", "Se"], "fractional_positions": [[0.0000, 0.0000, 0.0000], [0.5000, 0.5000, 0.0000], [0.0000, 0.5000, 0.5000], [0.5000, 0.0000, 0.5000], [0.2558, 0.5000, 0.2485], [0.2585, 0.0000, 0.7566], [0.7415, 0.0000, 0.2434], [0.7442, 0.5000, 0.7515]], "final_energy_ev_per_atom": -8.133, "space_group": "P2/m (10)", "volume_a3_per_atom": 24.7, "n_ef_per_ev_fu": 17.88, "e_form_raw_ev_per_fu": -13.3}


Record 7
{"formula": "CaPm2Tl4", "functional": "PBE", "state": "relaxed", "lattice_angstrom": [[5.3391, 0.0000, 0.0000], [0.0000, 5.3391, 0.0000], [0.0000, 0.0000, 15.3150]], "species": ["Ca", "Ca", "Pm", "Pm", "Pm", "Pm", "Tl", "Tl", "Tl", "Tl", "Tl", "Tl", "Tl", "Tl"], "fractional_positions": [[0.0000, 0.0000, 0.0000], [0.5000, 0.5000, 0.5000], [0.0000, 0.0000, 0.2506], [0.0000, 0.0000, 0.7494], [0.5000, 0.5000, 0.2494], [0.5000, 0.5000, 0.7506], [0.0000, 0.5000, 0.1156], [0.0000, 0.5000, 0.3844], [0.0000, 0.5000, 0.6156], [0.0000, 0.5000, 0.8844], [0.5000, 0.0000, 0.1156], [0.5000, 0.0000, 0.3844], [0.5000, 0.0000, 0.6156], [0.5000, 0.0000, 0.8844]], "final_energy_ev_per_atom": -3.240, "space_group": "I4/mmm (139)", "e_form_ev_per_atom": -0.244, "volume_a3_per_atom": 31.2, "n_ef_per_ev_fu": 4.22}


Record 8
{"formula": "Sm2Ho3Tm6", "functional": "PBE", "state": "relaxed", "lattice_angstrom": [[-2.3427, 2.3427, 16.4312], [2.3427, -2.3427, 16.4312], [2.3427, 2.3427, -16.4312]], "species": ["Sm", "Sm", "Ho", "Ho", "Ho", "Tm", "Tm", "Tm", "Tm", "Tm", "Tm"], "fractional_positions": [[0.0462, 0.0462, 0.0000], [0.9538, 0.9538, 0.0000], [0.2984, 0.2984, 0.0000], [0.5000, 0.5000, 0.0000], [0.7016, 0.7016, 0.0000], [0.1222, 0.6222, 0.5000], [0.1949, 0.1949, 0.0000], [0.3778, 0.8778, 0.5000], [0.6222, 0.1222, 0.5000], [0.8051, 0.8051, 0.0000], [0.8778, 0.3778, 0.5000]], "final_energy_ev_per_atom": -4.267, "space_group": "I4/mmm (139)", "e_form_ev_per_atom": 0.279, "volume_a3_per_atom": 32.8, "e_above_lowest_polymorph_mev_per_atom": 86.7, "n_ef_per_ev_fu": 17.16}